(1)
DFT (PBE) results for a geometry-optimized SrY2Cd structure.

The value obtained for the energy relative to the elements is -45 meV per atom.

The space group is P4/mmm (No. 123) and the conventional cell measures 3.789, 3.789 and 9.556 Å, with angles of 90.00, 90.00 and 90.00 degrees. The distinct sites, in fractional coordinates, are Sr at (0.000, 0.000, 0.000), Y at (0.500, 0.500, 0.312) and Cd at (0.000, 0.000, 0.500).



(2)
DFT (PBE) results for a geometry-optimized SrCdH structure.

Its total energy is -2.26 eV per atom.

The space group is P4/mmm (No. 123) and the conventional cell measures 3.720, 3.720 and 4.567 Å, with angles of 90.00, 90.00 and 90.00 degrees. The distinct sites, in fractional coordinates, are Sr at (0.000, 0.000, 0.000), Cd at (0.500, 0.500, 0.500) and H at (0.500, 0.500, 0.000).